(1)
Density functional theory data (PBE) for an optimized crystal structure of Pr2In12Pt7.

Structure (POSCAR):
```
Pr2In12Pt7
1.0
4.134 0.000 0.000
0.000 9.799 -5.658
0.000 0.000 11.315
In Pr Pt
12 2 7
Cartesian
2.067 7.009 -2.890 In
2.067 1.942 3.883 In
2.067 5.465 5.398 In
0.000 7.630 3.828 In
2.067 2.392 7.692 In
0.000 4.435 3.180 In
0.000 2.669 -0.963 In
2.067 8.798 1.857 In
0.000 4.828 7.909 In
2.067 3.792 1.033 In
0.000 9.299 -2.864 In
0.000 0.536 5.884 In
2.067 0.000 0.000 Pr
0.000 6.533 0.000 Pr
2.067 8.942 -0.975 Pt
0.000 2.012 1.758 Pt
2.067 4.484 -1.599 Pt
0.000 0.516 8.694 Pt
0.000 3.266 5.658 Pt
0.000 7.271 6.521 Pt
2.067 6.173 2.574 Pt
```

Summary:
- Crystal system: hexagonal
- Volume: 458.4 Å³/cell
- Total magnetization: 0.00 μB/cell
- ΔE_f: -0.57 eV/atom

***

(2)
Density functional theory data (PBE) for an optimized crystal structure of Pr2InPt3.

Structure (POSCAR):
```
Pr2InPt3
1.0
4.570 0.000 0.000
0.000 5.708 0.000
-2.285 -2.854 5.583
Pr Pt In
2 3 1
Cartesian
0.000 2.854 3.550 Pr
2.285 0.000 2.033 Pr
2.285 2.854 1.488 Pt
0.000 0.000 0.000 Pt
0.000 0.000 4.095 Pt
0.000 2.854 0.000 In
```

Summary:
- Crystal system: orthorhombic
- Volume: 145.6 Å³/cell
- Total magnetization: 0.00 μB/cell
- ΔE_f: -0.80 eV/atom

***

(3)
Density functional theory data (PBE) for an optimized crystal structure of PrIn2Pt.

Structure (POSCAR):
```
PrIn2Pt
1.0
-4.191 -0.969 -1.588
-3.322 -1.244 2.905
-3.934 4.468 1.034
In Pt Pr
2 1 1
Cartesian
-2.732 0.092 0.534 In
-8.714 2.163 1.818 In
0.000 0.000 0.000 Pt
-5.723 1.127 1.176 Pr
```

Summary:
- Crystal system: trigonal
- Volume: 98.9 Å³/cell
- Total magnetization: 0.00 μB/cell
- ΔE_f: -0.58 eV/atom